A plane-wave DFT calculation with PBE-GGA was carried out for crystalline BeAl2TlBi at its relaxed geometry.

Calculated formation energy (eV per atom): 1.33
Crystal system: tetragonal
Size of the total moment (μB per formula unit): 0.0

Cell: 5.1529 5.1529 6.0565 Å, 90.00 90.00 90.00°
Space group P4/mmm (No. 123)
Symmetry-distinct sites (fractional):
Be 0.0000 0.0000 0.0000 (multiplicity 1)
Al 0.0000 0.5000 0.5000 (multiplicity 2)
Tl 0.5000 0.5000 0.5000 (multiplicity 1)
Bi 0.5000 0.5000 0.0000 (multiplicity 1)


A plane-wave DFT calculation with PBE-GGA was carried out for crystalline Be2AlBr at its relaxed geometry.

ΔE_f (raw) (kJ/mol of formula units): 240
Crystal system: tetragonal
Excess energy over the best structure of this formula in the dataset (eV/f.u.): 2.17
Size of the total moment (μB per formula unit): 0.0

Cell: 3.0692 3.0692 6.7205 Å, 90.00 90.00 90.00°
Space group P4/mmm (No. 123)
Symmetry-distinct sites (fractional):
Be 0.0000 0.0000 0.2107 (multiplicity 2)
Al 0.5000 0.5000 0.0000 (multiplicity 1)
Br 0.5000 0.5000 0.5000 (multiplicity 1)


A plane-wave DFT calculation with PBE-GGA was carried out for crystalline BeAlBr at its relaxed geometry.

ΔE_f (raw) (kJ/mol of formula units): 59
Crystal system: trigonal
Excess energy over the best structure of this formula in the dataset (eV/f.u.): 1.12
Size of the total moment (μB per formula unit): 0.0

Cell: 3.2222 3.2222 7.7592 Å, 90.00 90.00 120.00°
Space group P3m1 (No. 156)
Symmetry-distinct sites (fractional):
Be 0.0000 0.0000 0.0000 (multiplicity 1)
Al 0.3333 0.6667 0.7516 (multiplicity 1)
Br 0.6667 0.3333 0.1729 (multiplicity 1)


A plane-wave DFT calculation with PBE-GGA was carried out for crystalline BeAlBr at its relaxed geometry.

ΔE_f (raw) (kJ/mol of formula units): 87
Crystal system: orthorhombic
Excess energy over the best structure of this formula in the dataset (eV/f.u.): 1.40
Size of the total moment (μB per formula unit): 0.0

Cell: 3.2381 5.9709 15.4872 Å, 90.00 90.00 90.00°
Space group Fmm2 (No. 42)
Symmetry-distinct sites (fractional):
Be 0.0000 0.0000 0.0000 (multiplicity 4)
Al 0.0000 0.0000 0.3739 (multiplicity 4)
Br 0.0000 0.0000 0.5951 (multiplicity 4)


A plane-wave DFT calculation with PBE-GGA was carried out for crystalline Be2AlBr at its relaxed geometry.

ΔE_f (raw) (kJ/mol of formula units): 298
Crystal system: orthorhombic
Excess energy over the best structure of this formula in the dataset (eV/f.u.): 2.77
Size of the total moment (μB per formula unit): 0.0

Cell: 5.7724 7.1270 3.0100 Å, 90.00 90.00 90.00°
Space group Cmmm (No. 65)
Symmetry-distinct sites (fractional):
Be 0.2500 0.2500 0.0000 (multiplicity 4)
Al 0.0000 0.0000 0.5000 (multiplicity 2)
Br 0.0000 0.5000 0.5000 (multiplicity 2)


A plane-wave DFT calculation with PBE-GGA was carried out for crystalline BeAlBr at its relaxed geometry.

ΔE_f (raw) (kJ/mol of formula units): -49
Crystal system: monoclinic
Excess energy over the best structure of this formula in the dataset (eV/f.u.): 0.00
Size of the total moment (μB per formula unit): 0.0

Cell: 4.0944 4.7576 7.9893 Å, 90.00 90.13 90.00°
Space group P2_1 (No. 4)
Symmetry-distinct sites (fractional):
Be 0.0057 0.0000 0.0351 (multiplicity 2)
Al 0.4965 0.2335 0.9408 (multiplicity 2)
Br 0.2398 0.9566 0.3019 (multiplicity 2)


A plane-wave DFT calculation with PBE-GGA was carried out for crystalline BeAl3Br at its relaxed geometry.

ΔE_f (raw) (kJ/mol of formula units): 130
Crystal system: cubic
Excess energy over the best structure of this formula in the dataset (eV/f.u.): 0.00
Size of the total moment (μB per formula unit): 0.0

Cell: 4.6187 4.6187 4.6187 Å, 90.00 90.00 90.00°
Space group Pm-3m (No. 221)
Symmetry-distinct sites (fractional):
Be 0.0000 0.0000 0.0000 (multiplicity 1)
Al 0.0000 0.0000 0.5000 (multiplicity 3)
Br 0.5000 0.5000 0.5000 (multiplicity 1)


A plane-wave DFT calculation with PBE-GGA was carried out for crystalline BeAlBr2 at its relaxed geometry.

ΔE_f (raw) (kJ/mol of formula units): 176
Crystal system: cubic
Excess energy over the best structure of this formula in the dataset (eV/f.u.): 3.15
Size of the total moment (μB per formula unit): 0.5

Cell: 7.1471 7.1471 7.1471 Å, 90.00 90.00 90.00°
Space group Fm-3m (No. 225)
Symmetry-distinct sites (fractional):
Be 0.0000 0.0000 0.0000 (multiplicity 4)
Al 0.0000 0.0000 0.5000 (multiplicity 4)
Br 0.2500 0.2500 0.2500 (multiplicity 8)


A plane-wave DFT calculation with PBE-GGA was carried out for crystalline Be2AlBr at its relaxed geometry.

ΔE_f (raw) (kJ/mol of formula units): 242
Crystal system: orthorhombic
Excess energy over the best structure of this formula in the dataset (eV/f.u.): 2.19
Size of the total moment (μB per formula unit): 0.0

Cell: 2.9645 5.2705 8.7450 Å, 90.00 90.00 90.00°
Space group Imm2 (No. 44)
Symmetry-distinct sites (fractional):
Be 0.0000 0.0000 0.0000 (multiplicity 2)
Be 0.0000 0.5000 0.3026 (multiplicity 2)
Al 0.0000 0.0000 0.5490 (multiplicity 2)
Br 0.0000 0.5000 0.6981 (multiplicity 2)


A plane-wave DFT calculation with PBE-GGA was carried out for crystalline BeAlBr2 at its relaxed geometry.

ΔE_f (raw) (kJ/mol of formula units): 174
Crystal system: tetragonal
Excess energy over the best structure of this formula in the dataset (eV/f.u.): 3.13
Size of the total moment (μB per formula unit): 0.0

Cell: 5.0479 5.0479 3.5660 Å, 90.00 90.00 90.00°
Space group P4/mmm (No. 123)
Symmetry-distinct sites (fractional):
Be 0.0000 0.0000 0.0000 (multiplicity 1)
Al 0.5000 0.5000 0.0000 (multiplicity 1)
Br 0.0000 0.5000 0.5000 (multiplicity 2)


A plane-wave DFT calculation with PBE-GGA was carried out for crystalline Be2AlBr at its relaxed geometry.

ΔE_f (raw) (kJ/mol of formula units): 150
Crystal system: orthorhombic
Excess energy over the best structure of this formula in the dataset (eV/f.u.): 1.24
Size of the total moment (μB per formula unit): 0.0

Cell: 3.0886 3.0920 6.6069 Å, 90.00 90.00 90.00°
Space group Pmmm (No. 47)
Symmetry-distinct sites (fractional):
Be 0.0000 0.0000 0.2124 (multiplicity 2)
Al 0.5000 0.5000 0.0000 (multiplicity 1)
Br 0.5000 0.0000 0.5000 (multiplicity 1)


A plane-wave DFT calculation with PBE-GGA was carried out for crystalline BeAl2Br at its relaxed geometry.

ΔE_f (raw) (kJ/mol of formula units): 140
Crystal system: tetragonal
Excess energy over the best structure of this formula in the dataset (eV/f.u.): 0.82
Size of the total moment (μB per formula unit): 0.0

Cell: 5.6467 5.6467 12.2827 Å, 90.00 90.00 90.00°
Space group I-42d (No. 122)
Symmetry-distinct sites (fractional):
Be 0.0000 0.0000 0.0000 (multiplicity 4)
Al 0.1542 0.2500 0.1250 (multiplicity 8)
Br 0.0000 0.0000 0.5000 (multiplicity 4)


Taking the records one at a time from the top gives DFT total energy values of -2.161 -2.596 -2.842 -2.748 -2.445 -3.216 -3.057 -2.248 -2.590 -2.252 -2.829 -2.858 eV/atom.